! PBE+U UMn2InO8, relaxed; values from VASP
&SYSTEM
  ibrav = 0, nat = 12, ntyp = 4
/
ATOMIC_SPECIES
Mn 54.94 Mn.upf
O 16.00 O.upf
U 238.03 U.upf
In 114.82 In.upf
CELL_PARAMETERS angstrom
-3.251 3.386 -0.575
-3.232 -2.664 2.195
1.726 2.632 5.736
ATOMIC_POSITIONS crystal
Mn 0.500 0.500 0.741
Mn 0.500 0.500 0.259
O 0.318 0.318 0.500
O 0.308 0.308 0.000
O 0.789 0.211 0.239
O 0.789 0.211 0.761
O 0.682 0.682 0.500
O 0.211 0.789 0.761
O 0.692 0.692 0.000
O 0.211 0.789 0.239
U 0.000 0.000 0.000
In 0.000 0.000 0.500
! E   -7.64 eV/atom
! Spin magnetization   0.5833 μB/atom
! N(E_F)   0.1972 states/eV/atom